(1)
DFT (GGA-PBE) results for a geometry-optimized Rb4U3ZnTe8 structure. Values from VASP.

## Properties
calculated total energy	-4.776	eV per atom
formation energy (no corrections)	-0.77	eV/atom

Cell and atoms, written as Quantum ESPRESSO input:
```
&SYSTEM
  ibrav = 0, nat = 16, ntyp = 4
/
ATOMIC_SPECIES
Rb 85.47 Rb.upf
U 238.03 U.upf
Zn 65.41 Zn.upf
Te 127.60 Te.upf
CELL_PARAMETERS angstrom
9.1066 0.0000 0.0000
0.0000 9.9524 0.5885
-4.5533 -4.5475 6.4433
ATOMIC_POSITIONS crystal
Rb 0.5000 0.0000 0.0000
Rb 0.5000 0.0000 0.5000
Rb 0.0000 0.0000 0.0000
Rb 0.0000 0.0000 0.5000
U 0.5000 0.5000 0.0000
U 0.5000 0.5000 0.5000
U 0.0000 0.5000 0.5000
Zn 0.0000 0.5000 0.0000
Te 0.2270 0.6912 0.9643
Te 0.2269 0.6911 0.4538
Te 0.2657 0.2973 0.5315
Te 0.7373 0.6912 0.9643
Te 0.2627 0.3088 0.0357
Te 0.7343 0.7027 0.4685
Te 0.7731 0.3089 0.5462
Te 0.7730 0.3088 0.0357
```

(2)
DFT (GGA-PBE) results for a geometry-optimized YZn9Cd2 structure. Values from VASP.

## Properties
calculated total energy	-1.767	eV per atom
ΔE_f	-0.12	eV/atom

Cell and atoms, written as Quantum ESPRESSO input:
```
&SYSTEM
  ibrav = 0, nat = 12, ntyp = 3
/
ATOMIC_SPECIES
Y 88.91 Y.upf
Zn 65.41 Zn.upf
Cd 112.41 Cd.upf
CELL_PARAMETERS angstrom
-4.7432 1.9049 1.4693
-4.4340 -1.8690 -2.2654
-3.5971 -5.9054 5.6695
ATOMIC_POSITIONS crystal
Y 0.0000 0.0000 0.0000
Zn 0.6672 0.6672 0.9984
Zn 0.3328 0.3328 0.0016
Zn 0.5000 0.5000 0.5000
Zn 0.4142 0.4142 0.2528
Zn 0.9189 0.4142 0.2528
Zn 0.4142 0.9189 0.2528
Zn 0.5858 0.5858 0.7472
Zn 0.5858 0.0811 0.7472
Zn 0.0811 0.5858 0.7472
Cd 0.8622 0.8622 0.4135
Cd 0.1378 0.1378 0.5865
```

(3)
DFT (GGA-PBE) results for a geometry-optimized AlPt2 structure. Values from VASP.

## Properties
calculated total energy	-5.622	eV per atom
ΔE_f	-0.35	eV/atom

Cell and atoms, written as Quantum ESPRESSO input:
```
&SYSTEM
  ibrav = 0, nat = 12, ntyp = 2
/
ATOMIC_SPECIES
Al 26.98 Al.upf
Pt 195.08 Pt.upf
CELL_PARAMETERS angstrom
5.9120 0.0000 0.0000
0.0000 5.9120 0.0000
0.0000 0.0000 5.9120
ATOMIC_POSITIONS crystal
Al 0.0000 0.0000 0.0000
Al 0.5000 0.5000 0.0000
Al 0.5000 0.0000 0.5000
Al 0.0000 0.5000 0.5000
Pt 0.6295 0.6295 0.3705
Pt 0.3705 0.3705 0.6295
Pt 0.1295 0.8705 0.6295
Pt 0.8705 0.1295 0.3705
Pt 0.3705 0.1295 0.1295
Pt 0.6295 0.8705 0.8705
Pt 0.8705 0.3705 0.8705
Pt 0.1295 0.6295 0.1295
```

(4)
DFT (GGA-PBE) results for a geometry-optimized KTaSbI2 structure. Values from VASP.

## Properties
distance to the lowest polymorph of the same formula	0	meV/atom
calculated total energy	-4.162	eV per atom
formation energy (no corrections)	-0.13	eV/atom

Cell and atoms, written as Quantum ESPRESSO input:
```
&SYSTEM
  ibrav = 0, nat = 5, ntyp = 4
/
ATOMIC_SPECIES
I 126.90 I.upf
Sb 121.76 Sb.upf
K 39.10 K.upf
Ta 180.95 Ta.upf
CELL_PARAMETERS angstrom
5.7962 0.0000 0.0000
0.0000 5.7962 0.0000
0.0000 0.0000 5.3854
ATOMIC_POSITIONS crystal
I 0.0000 0.5000 0.0000
I 0.5000 0.0000 0.0000
Sb 0.0000 0.0000 0.5000
K 0.5000 0.5000 0.5000
Ta 0.0000 0.0000 0.0000
```